# MoAsAuSe2

Crystalline MoAsAuSe2 at its relaxed geometry (PBE-GGA, Alexandria via LeMat-Bulk).

Unit cell a=4.8384 b=4.8384 c=5.0456 alpha=90.00 beta=90.00 gamma=90.00
Fractional coordinates of all 5 atoms:
1 Mo 0.0000 0.0000 0.0000
2 As 0.0000 0.0000 0.5000
3 Au 0.5000 0.5000 0.5000
4 Se 0.0000 0.5000 0.0000
5 Se 0.5000 0.0000 0.0000

Properties
DFT total energy (eV for the cell shown): -23.37
ΔE_f (raw) (eV/atom): 0.472
Distance to the lowest polymorph of the same formula (meV per atom): 0.0
Density (g/cm3): 7.4